Record 1
Computed, not measured: an optimized crystal structure of SrZnSb2I at the PBE level of DFT.

The calculation puts the uncorrected formation energy at -0.235 eV per atom. For the polymorph energy (0 for the lowest one), the calculation gives 0 meV per atom.

The space group is P4/mmm (No. 123) and the conventional cell measures 5.188, 5.188 and 6.314 Å, with angles of 90.00, 90.00 and 90.00 degrees. The inequivalent atoms are Sr at (0.000, 0.000, 0.000), Zn at (0.500, 0.500, 0.500), Sb at (0.000, 0.500, 0.500) and I at (0.500, 0.500, 0.000).

---

Record 2
Computed, not measured: an optimized crystal structure of BaHN2F at the PBE level of DFT.

For the polymorph energy (0 for the lowest one), the calculation gives 567 meV per atom.

The space group is P4/mmm (No. 123) and the conventional cell measures 5.737, 5.737 and 5.001 Å, with angles of 90.00, 90.00 and 90.00 degrees. The inequivalent atoms are Ba at (0.000, 0.000, 0.000), H at (0.500, 0.500, 0.500), N at (0.000, 0.500, 0.000) and F at (0.000, 0.000, 0.500).

---

Record 3
Computed, not measured: an optimized crystal structure of Ba6InNO at the PBE level of DFT.

The calculation puts the uncorrected formation energy at -0.684 eV per atom.

The space group is P312 (No. 149) and the conventional cell measures 7.5007, 7.5007 and 7.2999 Å, with angles of 90.00, 90.00 and 120.00 degrees. The inequivalent atoms are Ba at (0.0539, 0.3366, 0.2199), In at (0.6667, 0.3333, 0.5000), N at (0.3333, 0.6667, 0.0000) and O at (0.0000, 0.0000, 0.0000).

---

Record 4
Computed, not measured: an optimized crystal structure of MgReTe2 at the PBE level of DFT.

The calculation puts the uncorrected formation energy at 0.472 eV per atom.

The space group is P4/mmm (No. 123) and the conventional cell measures 4.937, 4.937 and 3.368 Å, with angles of 90.00, 90.00 and 90.00 degrees. The inequivalent atoms are Mg at (0.000, 0.000, 0.000), Re at (0.500, 0.500, 0.000) and Te at (0.000, 0.500, 0.500).

---

Record 5
Computed, not measured: an optimized crystal structure of MnCd2Hg at the PBE level of DFT.

The formation energy is 0.19 eV per atom.

The space group is C2/m (No. 12) and the conventional cell measures 12.423, 3.097 and 4.768 Å, with angles of 90.00, 111.87 and 90.00 degrees. The inequivalent atoms are Mn at (0.000, 0.000, 0.000), Cd at (0.210, 0.500, 0.211) and Hg at (0.000, 0.500, 0.500).

---

Record 6
Computed, not measured: an optimized crystal structure of CrNiH at the PBE level of DFT.

For the polymorph energy (0 for the lowest one), the calculation gives 0 meV per atom.

The space group is Pmmn (No. 59, origin choice 2) and the conventional cell measures 2.516, 3.773 and 5.128 Å, with angles of 90.00, 90.00 and 90.00 degrees. The inequivalent atoms are Cr at (0.250, 0.250, 0.135), Ni at (0.250, 0.250, 0.614) and H at (0.250, 0.750, 0.128).

---

Record 7
Computed, not measured: an optimized crystal structure of LiThNiGe at the PBE level of DFT.

The formation energy is -0.38 eV per atom.

The space group is F-43m (No. 216) and the conventional cell measures 6.538, 6.538 and 6.538 Å, with angles of 90.00, 90.00 and 90.00 degrees. The inequivalent atoms are Li at (0.000, 0.000, 0.000), Th at (0.250, 0.250, 0.750), Ni at (0.000, 0.000, 0.500) and Ge at (0.250, 0.250, 0.250).

---

Record 8
Computed, not measured: an optimized crystal structure of Tl2H2O3 at the PBE level of DFT.

The value obtained for the energy is -4.462 eV/atom.

The space group is C2/m (No. 12) and the conventional cell measures 11.364, 3.568 and 4.971 Å, with angles of 90.00, 110.95 and 90.00 degrees. The inequivalent atoms are Tl at (0.088, 0.000, 0.346), H at (0.198, 0.500, 0.867), O at (0.000, 0.500, 0.000) and O at (0.214, 0.500, 0.687).

---

no.,mass density (g/cm³),magnetic moment (μB per formula unit)
1,5.1,0.000
2,1.9,6.000
3,4.5,1.655
4,9.4,0.000
5,9.4,3.837
6,7.6,0.000
7,8.8,0.000
8,8.1,0.000